Material: AcTb2Be
Method: DFT, GGA-PBE
State: optimized geometry

As for the crystal system: trigonal. As for the symmetry: R-3m, No. 166. For the formation energy, the calculation gives 0.771 eV per atom. The density of states at the Fermi level is 3.8 states/eV/f.u. As for the polymorph energy (0 for the lowest one): 0.6553 eV per atom.

a b c (Å): 3.618 3.618 11.786
angles (deg): 81.17 81.17 60.00
Atoms (fractional coordinates):
Tb 0.918 0.918 0.247
Tb 0.082 0.082 0.753
Ac 0.500 0.500 0.500
Be 0.000 0.000 0.000

Material: TbPm7Pr12
Method: DFT, GGA-PBE
State: optimized geometry

As for the crystal system: trigonal. As for the symmetry: R-3, No. 148. For the formation energy, the calculation gives 0.242 eV per atom. The density of states at the Fermi level is 27.8 states/eV/f.u. As for the polymorph energy (0 for the lowest one): 0.0000 eV per atom.

a b c (Å): 8.987 8.987 8.987
angles (deg): 93.75 93.75 93.75
Atoms (fractional coordinates):
Pr 0.587 0.516 0.851
Pr 0.750 0.314 0.177
Pr 0.516 0.851 0.587
Pr 0.149 0.413 0.484
Pr 0.250 0.686 0.823
Pr 0.177 0.750 0.314
Pr 0.484 0.149 0.413
Pr 0.314 0.177 0.750
Pr 0.686 0.823 0.250
Pr 0.851 0.587 0.516
Pr 0.413 0.484 0.149
Pr 0.823 0.250 0.686
Pm 0.974 0.911 0.648
Pm 0.026 0.089 0.352
Pm 0.352 0.026 0.089
Pm 0.648 0.974 0.911
Pm 0.500 0.500 0.500
Pm 0.911 0.648 0.974
Pm 0.089 0.352 0.026
Tb 0.000 0.000 0.000

Material: ZrTlSb2
Method: DFT, GGA-PBE
State: optimized geometry

The formation energy without anion corrections comes out at 0.073 eV/atom. As for the crystal system: trigonal. As for the symmetry: R3m, No. 160. The density of states at the Fermi level is 2.5 states/eV/f.u. As for the polymorph energy (0 for the lowest one): 0.3543 eV per atom.

a b c (Å): 11.323 11.323 11.323
angles (deg): 16.97 16.97 16.97
Atoms (fractional coordinates):
Sb 0.013 0.013 0.013
Sb 0.239 0.239 0.239
Tl 0.495 0.495 0.495
Zr 0.752 0.752 0.752

Material: AgGeS2
Method: DFT, GGA-PBE
State: optimized geometry

The formation energy without anion corrections comes out at -0.082 eV/atom. As for the crystal system: trigonal. As for the symmetry: R-3m, No. 166. The density of states at the Fermi level is 2.7 states/eV/f.u.

a b c (Å): 7.767 7.767 7.767
angles (deg): 27.58 27.58 27.58
Atoms (fractional coordinates):
Ag 0.000 0.000 0.000
S 0.895 0.895 0.895
S 0.105 0.105 0.105
Ge 0.500 0.500 0.500

Record order is preserved below.
Mass density: 6.99 6.60 8.30 4.58 g/cm³